Entry 1:
Density functional theory data (PBE) for a relaxed Cd2P3Cl crystal.

```
data_Cd2P3Cl
_chemical_formula_sum 'Cd8 P12 Cl4'
_space_group_name_H-M_alt 'C 1 c 1'
_space_group_IT_number 9
_cell_length_a 8.1023
_cell_length_b 9.1293
_cell_length_c 7.6505
_cell_angle_alpha 90.00
_cell_angle_beta 100.50
_cell_angle_gamma 90.00
loop_
_space_group_symop_operation_xyz
'x,y,z'
'x,-y,z+1/2'
'x+1/2,y+1/2,z'
'x+1/2,-y+1/2,z+1/2'
loop_
_atom_site_label
_atom_site_type_symbol
_atom_site_fract_x
_atom_site_fract_y
_atom_site_fract_z
Cd1 Cd 0.0000 0.1533 0.0000
Cd2 Cd 0.0167 0.3465 0.4298
P1 P 0.1429 0.4545 0.7501
P2 P 0.2584 0.3050 0.9650
P3 P 0.3736 0.4546 0.1799
Cl1 Cl 0.2587 0.1357 0.4661
```

=====

Entry 2:
Density functional theory data (PBE) for a relaxed CdPCl3 crystal.

## Properties
- DOS at the Fermi energy (states/eV/atom) = 0.94

```
data_CdPCl3
_chemical_formula_sum 'Cd1 P1 Cl3'
_space_group_name_H-M_alt 'P m -3 m'
_space_group_IT_number 221
_space_group_name_Hall '-P 4 2 3'
_cell_length_a 4.9193
_cell_length_b 4.9193
_cell_length_c 4.9193
_cell_angle_alpha 90.00
_cell_angle_beta 90.00
_cell_angle_gamma 90.00
loop_
_atom_site_label
_atom_site_type_symbol
_atom_site_fract_x
_atom_site_fract_y
_atom_site_fract_z
Cd1 Cd 0.0000 0.0000 0.0000
P1 P 0.5000 0.5000 0.5000
Cl1 Cl 0.0000 0.5000 0.5000
```

=====

Entry 3:
Density functional theory data (PBE) for a relaxed Cd4P2Cl5 crystal.

## Properties
- DOS at the Fermi energy (states/eV/atom) = 0.11

```
data_Cd4P2Cl5
_chemical_formula_sum 'Cd8 P4 Cl10'
_space_group_name_H-M_alt 'I m m m'
_space_group_IT_number 71
_space_group_name_Hall '-I 2 2'
_cell_length_a 3.7476
_cell_length_b 7.1861
_cell_length_c 23.3899
_cell_angle_alpha 90.00
_cell_angle_beta 90.00
_cell_angle_gamma 90.00
loop_
_atom_site_label
_atom_site_type_symbol
_atom_site_fract_x
_atom_site_fract_y
_atom_site_fract_z
Cd1 Cd 0.0000 0.0000 0.2258
Cd2 Cd 0.0000 0.2754 0.5000
P1 P 0.0000 0.0000 0.0489
Cl1 Cl 0.0000 0.2606 0.3124
Cl2 Cl 0.0000 0.5000 0.0000
```

=====

Entry 4:
Density functional theory data (PBE) for a relaxed Cd2PCl crystal.

## Properties
- DOS at the Fermi energy (states/eV/atom) = 0.93

```
data_Cd2PCl
_chemical_formula_sum 'Cd8 P4 Cl4'
_space_group_name_H-M_alt 'F -4 3 m'
_space_group_IT_number 216
_space_group_name_Hall 'F -4 2 3'
_cell_length_a 6.9600
_cell_length_b 6.9600
_cell_length_c 6.9600
_cell_angle_alpha 90.00
_cell_angle_beta 90.00
_cell_angle_gamma 90.00
loop_
_atom_site_label
_atom_site_type_symbol
_atom_site_fract_x
_atom_site_fract_y
_atom_site_fract_z
Cd1 Cd 0.0000 0.0000 0.0000
Cd2 Cd 0.2500 0.2500 0.2500
P1 P 0.2500 0.2500 0.7500
Cl1 Cl 0.0000 0.0000 0.5000
```

=====

Entry 5:
Density functional theory data (PBE) for a relaxed Cd2PCl crystal.

## Properties
- DOS at the Fermi energy (states/eV/atom) = 0.55

```
data_Cd2PCl
_chemical_formula_sum 'Cd6 P3 Cl3'
_space_group_name_H-M_alt 'R 3 m'
_space_group_IT_number 160
_space_group_name_Hall 'R 3 -2"'
_cell_length_a 3.4212
_cell_length_b 3.4212
_cell_length_c 28.7771
_cell_angle_alpha 90.00
_cell_angle_beta 90.00
_cell_angle_gamma 120.00
loop_
_atom_site_label
_atom_site_type_symbol
_atom_site_fract_x
_atom_site_fract_y
_atom_site_fract_z
Cd1 Cd 0.0000 0.0000 0.0000
Cd2 Cd 0.0000 0.0000 0.2510
P1 P 0.0000 0.0000 0.5185
Cl1 Cl 0.0000 0.0000 0.7274
```

=====

Entry 6:
Density functional theory data (PBE) for a relaxed CdPCl3 crystal.

## Properties
- DOS at the Fermi energy (states/eV/atom) = 1.59

```
data_CdPCl3
_chemical_formula_sum 'Cd1 P1 Cl3'
_space_group_name_H-M_alt 'P m -3 m'
_space_group_IT_number 221
_space_group_name_Hall '-P 4 2 3'
_cell_length_a 5.1860
_cell_length_b 5.1860
_cell_length_c 5.1860
_cell_angle_alpha 90.00
_cell_angle_beta 90.00
_cell_angle_gamma 90.00
loop_
_atom_site_label
_atom_site_type_symbol
_atom_site_fract_x
_atom_site_fract_y
_atom_site_fract_z
Cd1 Cd 0.0000 0.0000 0.0000
P1 P 0.5000 0.5000 0.5000
Cl1 Cl 0.0000 0.0000 0.5000
```

=====

Entry 7:
Density functional theory data (PBE) for a relaxed Cd2PCl crystal.

## Properties
- DOS at the Fermi energy (states/eV/atom) = 0.00

```
data_Cd2PCl
_chemical_formula_sum 'Cd8 P4 Cl4'
_space_group_name_H-M_alt 'I -4 2 d'
_space_group_IT_number 122
_space_group_name_Hall 'I -4 2bw'
_cell_length_a 6.0350
_cell_length_b 6.0350
_cell_length_c 12.6686
_cell_angle_alpha 90.00
_cell_angle_beta 90.00
_cell_angle_gamma 90.00
loop_
_atom_site_label
_atom_site_type_symbol
_atom_site_fract_x
_atom_site_fract_y
_atom_site_fract_z
Cd1 Cd 0.1967 0.2500 0.1250
P1 P 0.0000 0.0000 0.0000
Cl1 Cl 0.0000 0.0000 0.5000
```

=====

Entry 8:
Density functional theory data (PBE) for a relaxed Cd7P4Cl6 crystal.

## Properties
- DOS at the Fermi energy (states/eV/atom) = 0.00

```
data_Cd7P4Cl6
_chemical_formula_sum 'Cd28 P16 Cl24'
_space_group_name_H-M_alt 'P a -3'
_space_group_IT_number 205
_space_group_name_Hall '-P 2ac 2ab 3'
_cell_length_a 12.1008
_cell_length_b 12.1008
_cell_length_c 12.1008
_cell_angle_alpha 90.00
_cell_angle_beta 90.00
_cell_angle_gamma 90.00
loop_
_atom_site_label
_atom_site_type_symbol
_atom_site_fract_x
_atom_site_fract_y
_atom_site_fract_z
Cd1 Cd 0.0000 0.0000 0.0000
Cd2 Cd 0.0145 0.2255 0.7333
P1 P 0.1831 0.6831 0.8169
P2 P 0.2123 0.2123 0.2123
Cl1 Cl 0.0196 0.2186 0.9630
```

=====

Sequential density output: 4.22 3.48 3.63 5.74 4.97 2.97 4.19 4.21 g/cm³
Sequential E_form (uncorrected) output: -0.3575 -0.1443 -0.4857 0.3284 0.0668 0.0892 -0.4439 -0.6458 eV per atom